# NdTh2IrN4

A relaxed structure of NdTh2IrN4 (PBE, the Alexandria database).

Computed properties:
As for the symmetry: Cmcm. As for the density of states at the Fermi level: 7.5 states/eV per cell. The uncorrected formation energy is -23.96 kcal/mol of atoms.

Geometry as POSCAR:
```
NdTh2IrN4
1.0
1.737 -6.099 0.000
1.737 6.099 0.000
0.000 0.000 12.134
Nd Th Ir N
2 4 2 8
Direct
0.110 0.890 0.750
0.890 0.110 0.250
0.370 0.630 0.555
0.370 0.630 0.945
0.630 0.370 0.055
0.630 0.370 0.445
0.153 0.847 0.250
0.847 0.153 0.750
0.000 0.000 0.000
0.000 0.000 0.500
0.277 0.723 0.123
0.277 0.723 0.377
0.454 0.546 0.750
0.546 0.454 0.250
0.723 0.277 0.623
0.723 0.277 0.877
```

***

# HfTi3Ga7

A relaxed structure of HfTi3Ga7 (PBE, the Alexandria database).

Computed properties:
As for the symmetry: C2/m. As for the density of states at the Fermi level: 8.2 states/eV per cell. The formation energy is -0.01 eV/atom.

Geometry as POSCAR:
```
HfTi3Ga7
1.0
3.988 -5.170 0.000
3.988 5.170 0.000
-1.903 0.000 4.903
Hf Ti Ga
1 3 7
Direct
0.000 0.000 0.000
0.254 0.746 0.500
0.500 0.500 0.000
0.746 0.254 0.500
0.000 0.000 0.500
0.103 0.572 0.850
0.327 0.327 0.437
0.428 0.897 0.150
0.572 0.103 0.850
0.673 0.673 0.563
0.897 0.428 0.150
```

***

# CdCoOs2

A relaxed structure of CdCoOs2 (PBE, the Alexandria database).

Computed properties:
As for the symmetry: P2/m. As for the density of states at the Fermi level: 6.7 states/eV per cell. The formation energy is 0.60 eV/atom.

Geometry as POSCAR:
```
CdCoOs2
1.0
4.717 0.000 0.000
0.000 2.739 0.000
-1.590 0.000 4.556
Cd Co Os
1 1 2
Direct
0.000 0.000 0.000
0.500 0.500 0.000
0.000 0.500 0.500
0.500 0.000 0.500
```

***

# Mg2NpMn3N6

A relaxed structure of Mg2NpMn3N6 (PBE, the Alexandria database).

Computed properties:
As for the symmetry: C2/m. As for the density of states at the Fermi level: 8.0 states/eV per cell. The uncorrected formation energy is -14.74 kcal/mol of atoms.

Geometry as POSCAR:
```
Mg2NpMn3N6
1.0
2.625 -4.569 0.000
2.625 4.569 0.000
-1.747 0.000 4.913
Mg Np Mn N
2 1 3 6
Direct
0.166 0.834 0.000
0.834 0.166 0.000
0.500 0.500 0.000
0.000 0.000 0.500
0.325 0.675 0.500
0.675 0.325 0.500
0.072 0.409 0.728
0.255 0.255 0.274
0.409 0.072 0.728
0.591 0.928 0.272
0.745 0.745 0.726
0.928 0.591 0.272
```

***

# YNb2ZnIn

A relaxed structure of YNb2ZnIn (PBE, the Alexandria database).

Computed properties:
As for the symmetry: P4/mmm. As for the density of states at the Fermi level: 4.1 states/eV per cell. The formation energy is 1.60 eV/atom.

Geometry as POSCAR:
```
YNb2ZnIn
1.0
5.018 0.000 0.000
0.000 5.018 0.000
0.000 0.000 5.200
Y Nb Zn In
1 2 1 1
Direct
0.000 0.000 0.000
0.000 0.500 0.000
0.500 0.000 0.000
0.000 0.000 0.500
0.500 0.500 0.500
```

***

# CdB3Mo

A relaxed structure of CdB3Mo (PBE, the Alexandria database).

Computed properties:
As for the symmetry: Pm-3m. As for the density of states at the Fermi level: 2.3 states/eV per cell. The formation energy is 1.25 eV/atom.

Geometry as POSCAR:
```
CdB3Mo
1.0
4.201 0.000 0.000
0.000 4.201 0.000
0.000 0.000 4.201
Cd B Mo
1 3 1
Direct
0.000 0.000 0.000
0.000 0.500 0.500
0.500 0.000 0.500
0.500 0.500 0.000
0.500 0.500 0.500
```

***

# LaTaMo2

A relaxed structure of LaTaMo2 (PBE, the Alexandria database).

Computed properties:
As for the symmetry: P2/m. As for the density of states at the Fermi level: 4.8 states/eV per cell. The formation energy is 0.42 eV/atom.

Geometry as POSCAR:
```
LaTaMo2
1.0
3.028 0.000 0.000
0.000 4.396 0.000
-0.655 0.000 6.292
La Ta Mo
1 1 2
Direct
0.000 0.000 0.000
0.500 0.000 0.500
0.187 0.500 0.684
0.813 0.500 0.316
```

***

# CsLiZn2Cl6

A relaxed structure of CsLiZn2Cl6 (PBE, the Alexandria database).

Computed properties:
As for the symmetry: C2/c. As for the density of states at the Fermi level: 0.0 states/eV per cell. The uncorrected formation energy is -33.17 kcal/mol of atoms.

Geometry as POSCAR:
```
CsLiZn2Cl6
1.0
6.608 -7.277 0.000
6.608 7.277 0.000
-2.248 0.000 6.818
Cs Li Zn Cl
2 2 4 12
Direct
0.111 0.889 0.750
0.889 0.111 0.250
0.236 0.764 0.250
0.764 0.236 0.750
0.228 0.383 0.824
0.383 0.228 0.324
0.617 0.772 0.676
0.772 0.617 0.176
0.020 0.235 0.747
0.213 0.611 0.944
0.235 0.020 0.247
0.286 0.389 0.520
0.389 0.286 0.020
0.389 0.787 0.556
0.611 0.213 0.444
0.611 0.714 0.980
0.714 0.611 0.480
0.765 0.980 0.753
0.787 0.389 0.056
0.980 0.765 0.253
```

***

# La6Pr8Th

A relaxed structure of La6Pr8Th (PBE, the Alexandria database).

Computed properties:
As for the symmetry: R-3. As for the density of states at the Fermi level: 27.0 states/eV per cell. The formation energy is 0.10 eV/atom.

Geometry as POSCAR:
```
La6Pr8Th
1.0
4.709 2.719 7.121
-4.709 2.719 7.121
0.000 -5.438 7.121
La Pr Th
6 8 1
Direct
0.040 0.739 0.594
0.261 0.406 0.960
0.406 0.960 0.261
0.594 0.040 0.739
0.739 0.594 0.040
0.960 0.261 0.406
0.077 0.077 0.077
0.205 0.266 0.615
0.266 0.615 0.205
0.385 0.795 0.734
0.615 0.205 0.266
0.734 0.385 0.795
0.795 0.734 0.385
0.923 0.923 0.923
0.500 0.500 0.500
```

***

# MnBeSe2

A relaxed structure of MnBeSe2 (PBE, the Alexandria database).

Computed properties:
As for the symmetry: Pmmm. As for the density of states at the Fermi level: 1.1 states/eV per cell. The uncorrected formation energy is 0.52 kcal/mol of atoms.

Geometry as POSCAR:
```
MnBeSe2
1.0
3.436 0.000 0.000
0.000 3.481 0.000
0.000 0.000 7.492
Mn Be Se
1 1 2
Direct
0.000 0.000 0.000
0.000 0.500 0.500
0.500 0.000 0.500
0.500 0.500 0.000
```

***

# K2SrFe

A relaxed structure of K2SrFe (PBE, the Alexandria database).

Computed properties:
As for the symmetry: Pmmm. As for the density of states at the Fermi level: 4.4 states/eV per cell. The formation energy is 0.85 eV/atom.

Geometry as POSCAR:
```
K2SrFe
1.0
4.244 0.000 0.000
0.000 5.683 0.000
0.000 0.000 7.421
K Sr Fe
2 1 1
Direct
0.000 0.000 0.218
0.000 0.000 0.782
0.500 0.500 0.500
0.500 0.500 0.000
```

***

# Rb3SnHg

A relaxed structure of Rb3SnHg (PBE, the Alexandria database).

Computed properties:
As for the symmetry: Pm-3m. As for the density of states at the Fermi level: 1.9 states/eV per cell. The formation energy is 0.05 eV/atom.

Geometry as POSCAR:
```
Rb3SnHg
1.0
7.178 0.000 0.000
0.000 7.178 0.000
0.000 0.000 7.178
Rb Sn Hg
3 1 1
Direct
0.000 0.000 0.500
0.000 0.500 0.000
0.500 0.000 0.000
0.000 0.000 0.000
0.500 0.500 0.500
```

***

# Np4As2PS

A relaxed structure of Np4As2PS (PBE, the Alexandria database).

Computed properties:
As for the symmetry: P2/m. As for the density of states at the Fermi level: 30.2 states/eV per cell. The uncorrected formation energy is -20.86 kcal/mol of atoms.

Geometry as POSCAR:
```
Np4As2PS
1.0
6.966 0.000 0.000
0.000 4.040 0.000
-2.343 0.000 6.574
Np As P S
4 2 1 1
Direct
0.240 0.000 0.246
0.240 0.500 0.747
0.760 0.000 0.754
0.760 0.500 0.253
0.500 0.000 0.000
0.500 0.500 0.500
0.000 0.500 0.000
0.000 0.000 0.500
```

***

# SrLa3Tl

A relaxed structure of SrLa3Tl (PBE, the Alexandria database).

Computed properties:
As for the symmetry: Pm-3m. As for the density of states at the Fermi level: 5.0 states/eV per cell. The formation energy is 0.82 eV/atom.

Geometry as POSCAR:
```
SrLa3Tl
1.0
5.901 0.000 0.000
0.000 5.901 0.000
0.000 0.000 5.901
Sr La Tl
1 3 1
Direct
0.000 0.000 0.000
0.000 0.000 0.500
0.000 0.500 0.000
0.500 0.000 0.000
0.500 0.500 0.500
```

***

# PrSmTlPd

A relaxed structure of PrSmTlPd (PBE, the Alexandria database).

Computed properties:
As for the symmetry: F-43m. As for the density of states at the Fermi level: 4.4 states/eV per cell. The formation energy is -0.48 eV/atom.

Geometry as POSCAR:
```
PrSmTlPd
1.0
0.000 3.772 3.772
3.772 0.000 3.772
3.772 3.772 0.000
Pr Sm Tl Pd
1 1 1 1
Direct
0.000 0.000 0.000
0.500 0.500 0.500
0.750 0.750 0.750
0.250 0.250 0.250
```

***

# Pm2ErBr

A relaxed structure of Pm2ErBr (PBE, the Alexandria database).

Computed properties:
As for the symmetry: R-3m. As for the density of states at the Fermi level: 4.2 states/eV per cell. The uncorrected formation energy is -12.45 kcal/mol of atoms.

Geometry as POSCAR:
```
Pm2ErBr
1.0
1.842 1.064 10.495
-1.842 1.064 10.495
0.000 -2.127 10.495
Pm Er Br
2 1 1
Direct
0.243 0.243 0.243
0.757 0.757 0.757
0.000 0.000 0.000
0.500 0.500 0.500
```

***

# TaAl2V2

A relaxed structure of TaAl2V2 (PBE, the Alexandria database).

Computed properties:
As for the symmetry: P4/mbm. As for the density of states at the Fermi level: 5.0 states/eV per cell. The formation energy is -0.12 eV/atom.

Geometry as POSCAR:
```
TaAl2V2
1.0
6.903 0.000 0.000
0.000 6.903 0.000
0.000 0.000 3.204
Ta Al V
2 4 4
Direct
0.000 0.000 0.000
0.500 0.500 0.000
0.127 0.373 0.000
0.373 0.873 0.000
0.627 0.127 0.000
0.873 0.627 0.000
0.174 0.674 0.500
0.326 0.174 0.500
0.674 0.826 0.500
0.826 0.326 0.500
```

***

# LaTcRh2

A relaxed structure of LaTcRh2 (PBE, the Alexandria database).

Computed properties:
As for the symmetry: Cmmm. As for the density of states at the Fermi level: 4.0 states/eV per cell. The formation energy is -0.01 eV/atom.

Geometry as POSCAR:
```
LaTcRh2
1.0
2.956 -4.010 0.000
2.956 4.010 0.000
0.000 0.000 2.962
La Tc Rh
1 1 2
Direct
0.000 0.000 0.000
0.500 0.500 0.000
0.000 0.500 0.500
0.500 0.000 0.500
```

***

# Ac3Ga4Rh4

A relaxed structure of Ac3Ga4Rh4 (PBE, the Alexandria database).

Computed properties:
As for the symmetry: Immm. As for the density of states at the Fermi level: 7.1 states/eV per cell. The formation energy is -0.76 eV/atom.

Geometry as POSCAR:
```
Ac3Ga4Rh4
1.0
-2.200 2.215 12.660
2.200 -2.215 12.660
2.200 2.215 -12.660
Ac Ga Rh
3 4 4
Direct
0.000 0.000 0.000
0.348 0.848 0.500
0.652 0.152 0.500
0.202 0.702 0.500
0.447 0.447 0.000
0.553 0.553 0.000
0.798 0.298 0.500
0.100 0.600 0.500
0.250 0.250 0.000
0.750 0.750 0.000
0.900 0.400 0.500
```

***

# BeFeAu2

A relaxed structure of BeFeAu2 (PBE, the Alexandria database).

Computed properties:
As for the symmetry: P4mm. As for the density of states at the Fermi level: 1.3 states/eV per cell. The formation energy is 0.00 eV/atom.

Geometry as POSCAR:
```
BeFeAu2
1.0
2.802 0.000 0.000
0.000 2.802 0.000
0.000 0.000 7.145
Be Fe Au
1 1 2
Direct
0.000 0.000 0.000
0.500 0.500 0.191
0.000 0.000 0.458
0.500 0.500 0.788
```